(1)
Below is OsPd2Pt after structural relaxation, with properties calculated at the PBE-GGA level.

```
8
Lattice="-4.310 5.500 -1.126 -3.235 -3.593 -5.168 -5.501 -0.038 -1.376" Properties=species:S:1:pos:R:3 pbc="T T T"
Os -3.772 0.953 -3.147
Os -6.254 -1.339 -4.846
Pd -4.401 2.887 -1.675
Pd -4.008 -1.476 -3.734
Pd -7.009 0.626 -3.479
Pd -10.673 1.699 -6.453
Pt 0.000 0.000 0.000
Pt -6.791 3.207 -2.825
```

Properties
Density of states at the Fermi level = 10.46 states/eV/cell
Calculated total energy = -6.1877 eV per atom
Relative energy among the computed polymorphs = 282 meV per atom
Formation enthalpy at 0 K = 70.08 kJ/mol of atoms

=====

(2)
Below is Os2Pd2Pt after structural relaxation, with properties calculated at the PBE-GGA level.

```
5
Lattice="3.535 0.000 0.000 0.000 3.535 0.000 1.768 1.768 6.691" Properties=species:S:1:pos:R:3 pbc="T T T"
Os 3.535 1.768 3.346
Os 1.768 3.535 3.346
Pd 1.768 1.768 1.344
Pd 3.535 3.535 5.348
Pt 0.000 0.000 0.000
```

Properties
Density of states at the Fermi level = 6.35 states/eV/cell
Calculated total energy = -7.0700 eV per atom
Formation enthalpy at 0 K = 68.23 kJ/mol of atoms

=====

(3)
Below is Rb2OsPdPt after structural relaxation, with properties calculated at the PBE-GGA level.

```
5
Lattice="-2.544 -3.911 -4.490 3.317 -3.239 0.941 -3.852 -2.642 4.484" Properties=species:S:1:pos:R:3 pbc="T T T"
Rb -1.926 -1.321 2.242
Rb -1.272 -1.955 -2.245
Os 0.000 0.000 0.000
Pd 1.658 -1.619 0.471
Pt -1.540 -4.895 0.468
```

Properties
Density of states at the Fermi level = 6.46 states/eV/cell
Calculated total energy = -3.3264 eV per atom
Formation enthalpy at 0 K = 149.87 kJ/mol of atoms

=====

(4)
Below is OsPdPtS2 after structural relaxation, with properties calculated at the PBE-GGA level.

```
5
Lattice="-1.727 2.706 -3.022 -0.289 -3.922 -3.346 -4.049 -0.950 1.463" Properties=species:S:1:pos:R:3 pbc="T T T"
S -2.024 -0.475 0.731
S -0.863 1.353 -1.511
Os 0.000 0.000 0.000
Pd -3.032 -1.083 -2.453
Pt -0.144 -1.961 -1.673
```

Properties
Density of states at the Fermi level = 5.77 states/eV/cell
Calculated total energy = -5.3216 eV per atom

=====

(5)
Below is Si2OsPdPt after structural relaxation, with properties calculated at the PBE-GGA level.

```
5
Lattice="4.390 0.000 0.000 0.000 5.074 0.000 0.000 0.000 4.390" Properties=species:S:1:pos:R:3 pbc="T T T"
Si 0.000 0.000 2.195
Si 2.195 0.000 0.000
Os 0.000 2.537 0.000
Pd 0.000 0.000 0.000
Pt 2.195 2.537 2.195
```

Properties
Density of states at the Fermi level = 4.55 states/eV/cell
Calculated total energy = -5.3316 eV per atom

=====

(6)
Below is SiOsPd2Pt after structural relaxation, with properties calculated at the PBE-GGA level.

```
5
Lattice="4.927 0.000 0.000 0.000 4.343 0.000 0.000 0.000 4.927" Properties=species:S:1:pos:R:3 pbc="T T T"
Si 0.000 2.172 0.000
Os 2.464 2.172 2.464
Pd 0.000 0.000 2.464
Pd 2.464 0.000 0.000
Pt 0.000 0.000 0.000
```

Properties
Density of states at the Fermi level = 7.21 states/eV/cell
Calculated total energy = -5.1217 eV per atom

=====

(7)
Below is SrOs2PdPt after structural relaxation, with properties calculated at the PBE-GGA level.

```
5
Lattice="4.769 0.000 0.000 0.000 5.553 0.000 0.000 0.000 4.769" Properties=species:S:1:pos:R:3 pbc="T T T"
Sr 0.000 2.776 0.000
Os 0.000 0.000 2.384
Os 2.384 0.000 0.000
Pd 2.384 2.776 2.384
Pt 0.000 0.000 0.000
```

Properties
Density of states at the Fermi level = 5.97 states/eV/cell
Calculated total energy = -5.5466 eV per atom
Formation enthalpy at 0 K = 147.47 kJ/mol of atoms

=====

(8)
Below is Pu2OsPd after structural relaxation, with properties calculated at the PBE-GGA level.

```
4
Lattice="-1.903 -1.946 -1.796 -1.599 -0.918 2.690 -4.956 5.754 -0.984" Properties=species:S:1:pos:R:3 pbc="T T T"
Os -1.751 -1.432 0.447
Pd -4.229 1.445 -0.045
Pu -3.793 4.404 -0.753
Pu -1.163 1.351 -0.231
```

Properties
Density of states at the Fermi level = 13.55 states/eV/cell
Calculated total energy = -11.4848 eV per atom
Formation enthalpy at 0 K = -20.57 kJ/mol of atoms